Record 1
The following is a GGA-PBE calculation of a geometry-optimized BeGaS3 structure, from Alexandria via LeMat-Bulk.

Properties
- distance to the lowest polymorph of the same formula (eV per atom) = 0.000
- formation energy from raw total energies (meV/atom) = 251

```
BeGaS3
1.0
4.382 0.000 0.000
0.000 4.382 0.000
0.000 0.000 4.382
Be S Ga
1 3 1
direct
0.000 0.000 0.000
0.000 0.500 0.000
0.000 0.000 0.500
0.500 0.000 0.000
0.500 0.500 0.500
```



Record 2
The following is a GGA-PBE calculation of a geometry-optimized SrTcPb4 structure, from Alexandria via LeMat-Bulk.

Properties
- calculated formation energy (eV/f.u.) = 3.143

```
SrTcPb4
1.0
5.391 2.627 2.369
-0.100 6.007 2.341
0.582 0.999 6.343
Sr Tc Pb
1 1 4
direct
0.750 0.750 0.750
0.000 0.000 0.000
0.877 0.374 0.374
0.374 0.374 0.877
0.374 0.877 0.374
0.374 0.374 0.374
```



Record 3
The following is a GGA-PBE calculation of a geometry-optimized Pm3In3Ag2 structure, from Alexandria via LeMat-Bulk.

Properties
- distance to the lowest polymorph of the same formula (eV per atom) = 0.005
- calculated formation energy (eV/f.u.) = -3.127

```
Pm3In3Ag2
1.0
-3.356 -0.311 2.064
1.504 -7.619 1.299
2.605 5.445 5.056
Pm In Ag
3 3 2
direct
0.500 0.399 0.399
0.500 0.601 0.000
0.500 0.000 0.601
0.000 0.762 0.762
0.000 0.238 0.000
0.000 0.000 0.238
0.000 0.333 0.667
0.000 0.667 0.333
```